Entry from the Alexandria database: a relaxed structure of Lu2CoSi (GGA-PBE).

The space group is R-3m (No. 166, hexagonal axes) and the conventional cell measures 3.2859, 3.2859 and 27.1925 Å, with angles of 90.00, 90.00 and 120.00 degrees. The inequivalent atoms are Lu at (0.0000, 0.0000, 0.0893), Co at (0.0000, 0.0000, 0.0000) and Si at (0.0000, 0.0000, 0.5000).

The total magnetization is 2.6 μB per cell. The value obtained for the total DFT energy (no corrections) is -5.055 eV per atom.